The following is a PBE calculation of a relaxed structure of Rb2TlGa3Sn4, from the Alexandria database.

Cell: 5.1175 5.1175 11.4611 Å, 90.00 90.00 90.00°
Element x y z (fractional)
Tl 0.5000 0.5000 0.5000
Ga 0.0000 0.0000 0.5000
Ga 0.5000 0.0000 0.8786
Ga 0.0000 0.5000 0.1214
Rb 0.5000 0.0000 0.2503
Rb 0.0000 0.5000 0.7497
Sn 0.5000 0.5000 0.0000
Sn 0.0000 0.0000 0.0000
Sn 0.0000 0.5000 0.3637
Sn 0.5000 0.0000 0.6363

Results
Total energy, eV/atom: -3.06
SG: P-4m2, No. 115
Spin magnetization, Bohr magnetons per cell: 0.0
Formation energy from the elements, meV/atom: -124